<i>
VPtIO2, optimized geometry, DFT GGA+U; calculated volume = 21.72 A^3/atom
1.0
-3.470 0.771 1.650
-0.875 -3.820 -0.055
2.882 -0.752 6.412
I O Pt V
1 2 1 1
Direct
0.000 0.000 0.500
0.000 0.500 0.000
0.500 0.000 0.000
0.000 0.000 0.000
0.500 0.500 0.500


<ii>
VPtIO2, optimized geometry, DFT GGA+U; calculated volume = 17.74 A^3/atom
1.0
3.768 0.000 0.000
0.000 3.768 0.000
0.000 0.000 6.248
I O Pt V
1 2 1 1
Direct
0.000 0.000 0.500
0.000 0.500 0.000
0.500 0.000 0.000
0.500 0.500 0.500
0.000 0.000 0.000


Preferred: <ii>; penalty for the next structure: 1150 meV/atom.


<i>
VPtI2O, optimized geometry, DFT GGA+U; calculated volume = 22.42 A^3/atom
1.0
-2.927 -4.017 -2.487
2.776 0.904 -4.728
2.496 -2.437 0.999
I O Pt V
2 1 1 1
Direct
0.000 0.500 0.000
0.500 0.000 0.000
0.000 0.000 0.500
0.500 0.500 0.500
0.000 0.000 0.000


<ii>
VPtI2O, optimized geometry, DFT GGA+U; calculated volume = 25.24 A^3/atom
1.0
5.736 0.000 0.000
0.000 5.736 0.000
0.000 0.000 3.836
I O Pt V
2 1 1 1
Direct
0.000 0.500 0.000
0.500 0.000 0.000
0.000 0.000 0.500
0.000 0.000 0.000
0.500 0.500 0.500


Preferred: <i>; penalty for the next structure: 303 meV/atom.